Here is crystalline Li2PaPd8 at its relaxed geometry from the Alexandria database. Energies are from PBE-GGA.

a = 14.0470 Å, b = 4.1710 Å, c = 6.2700 Å
α = 90.00°, β = 107.32°, γ = 90.00°
With the nearest neighbours (Å) after each atom.
Space group C2/m (No. 12)
Symmetry-distinct sites (fractional):
Li  0.2256  0.0000  0.1471  10 Pd 2.61-2.90
Pa  0.0000  0.5000  0.5000  12 Pd 2.73-2.91
Pd  0.0464  0.0000  0.2279  1 Li 2.71, 9 Pd 2.77-2.88, 2 Pa 2.89
Pd  0.0947  0.5000  0.9605  3 Li 2.80, 1 Pa 2.80, 8 Pd 2.81-2.88
Pd  0.1430  0.0000  0.6991  3 Li 2.70-2.76, 7 Pd 2.79-2.86, 2 Pa 2.91
Pd  0.1821  0.5000  0.4253  3 Li 2.61-2.90, 1 Pa 2.73, 8 Pd 2.79-2.86

Output
- Calculated formation energy: -534 meV/atom
- Crystal system: monoclinic
- Size of the total moment: 0.000 μB/f.u.
- Calculated total energy: -5.52 eV per atom